No. 1
First-principles (PBE) data for YBeBi2N after structural relaxation, as listed in Alexandria via LeMat-Bulk.

The value obtained for the electronic total energy is -21.45 eV per cell. The value obtained for the uncorrected formation energy is 966 meV/atom. The value obtained for the density of states at the Fermi level is 2.8 states/eV/cell. For the density, the calculation gives 7.3 Mg/m³.

It has space group P4/mmm (No. 123), with a = 4.7394 Å, b = 4.7394 Å, c = 5.3919 Å, α = 90.00°, β = 90.00° and γ = 90.00°. The asymmetric unit holds Y at (0.0000, 0.0000, 0.0000), Be at (0.0000, 0.0000, 0.5000), Bi at (0.0000, 0.5000, 0.5000) and N at (0.5000, 0.5000, 0.0000).


No. 2
First-principles (PBE) data for Sm2Co2B after structural relaxation, as listed in Alexandria via LeMat-Bulk.

The value obtained for the electronic total energy is -123.42 eV per cell. The value obtained for the density of states at the Fermi level is 12.7 states/eV/cell. For the density, the calculation gives 8.3 Mg/m³.

It has space group C2/c (No. 15), with a = 10.0723 Å, b = 5.2843 Å, c = 6.5405 Å, α = 90.00°, β = 100.10° and γ = 90.00°. The asymmetric unit holds Sm at (0.1466, 0.1177, 0.1489), Co at (0.1118, 0.4001, 0.5148) and B at (0.0000, 0.4261, 0.7500).


No. 3
First-principles (PBE) data for La2Nd7YCd2 after structural relaxation, as listed in Alexandria via LeMat-Bulk.

The value obtained for the electronic total energy is -103.25 eV per cell. The value obtained for the density of states at the Fermi level is 37.7 states/eV/cell. For the density, the calculation gives 6.6 Mg/m³.

It has space group C2/m (No. 12), with a = 10.2270 Å, b = 7.0188 Å, c = 11.2684 Å, α = 90.00°, β = 90.05° and γ = 90.00°. The asymmetric unit holds La at (0.0002, 0.0000, 0.1495), Nd at (0.0000, 0.0000, 0.5000), Nd at (0.1879, 0.5000, 0.0005), Nd at (0.2499, 0.2501, 0.3313), Y at (0.0000, 0.5000, 0.5000) and Cd at (0.9996, 0.5000, 0.2284).


No. 4
First-principles (PBE) data for PuZnGa after structural relaxation, as listed in Alexandria via LeMat-Bulk.

The value obtained for the electronic total energy is -74.34 eV per cell. The value obtained for the density of states at the Fermi level is 66.2 states/eV/cell. For the density, the calculation gives 9.0 Mg/m³.

It has space group F-43m (No. 216), with a = 6.5295 Å, b = 6.5295 Å, c = 6.5295 Å, α = 90.00°, β = 90.00° and γ = 90.00°. The asymmetric unit holds Pu at (0.0000, 0.0000, 0.0000), Zn at (0.0000, 0.0000, 0.5000) and Ga at (0.2500, 0.2500, 0.7500).


No. 5
First-principles (PBE) data for Ba2Ga7Au after structural relaxation, as listed in Alexandria via LeMat-Bulk.

The value obtained for the electronic total energy is -33.03 eV per cell. The value obtained for the density of states at the Fermi level is 4.1 states/eV/cell. For the density, the calculation gives 6.9 Mg/m³.

It has space group P-4m2 (No. 115), with a = 4.6128 Å, b = 4.6128 Å, c = 10.9183 Å, α = 90.00°, β = 90.00° and γ = 90.00°. The asymmetric unit holds Ba at (0.0000, 0.5000, 0.2473), Ga at (0.0000, 0.0000, 0.0000), Ga at (0.0000, 0.5000, 0.6279), Ga at (0.0000, 0.5000, 0.8716), Ga at (0.5000, 0.5000, 0.0000), Ga at (0.5000, 0.5000, 0.5000) and Au at (0.0000, 0.0000, 0.5000).


No. 6
First-principles (PBE) data for CdIr3 after structural relaxation, as listed in Alexandria via LeMat-Bulk.

The value obtained for the electronic total energy is -53.52 eV per cell. The value obtained for the density of states at the Fermi level is 5.9 states/eV/cell. For the density, the calculation gives 18.2 Mg/m³.

It has space group C2/m (No. 12), with a = 9.2571 Å, b = 2.8031 Å, c = 4.9151 Å, α = 90.00°, β = 99.66° and γ = 90.00°. The asymmetric unit holds Cd at (0.0000, 0.0000, 0.0000), Ir at (0.0000, 0.5000, 0.5000) and Ir at (0.2407, 0.0000, 0.7294).


No. 7
First-principles (PBE) data for Pm12AgSn6 after structural relaxation, as listed in Alexandria via LeMat-Bulk.

The value obtained for the electronic total energy is -270.41 eV per cell. The value obtained for the density of states at the Fermi level is 74.5 states/eV/cell. For the density, the calculation gives 6.3 Mg/m³.

It has space group R-3 (No. 148, hexagonal axes), with a = 13.7103 Å, b = 13.7103 Å, c = 12.5070 Å, α = 90.00°, β = 90.00° and γ = 120.00°. The asymmetric unit holds Pm at (0.0303, 0.8300, 0.3920), Pm at (0.0604, 0.8498, 0.8856), Ag at (0.0000, 0.0000, 0.0000) and Sn at (0.0429, 0.7695, 0.6447).


No. 8
First-principles (PBE) data for TbPrGd4 after structural relaxation, as listed in Alexandria via LeMat-Bulk.

The value obtained for the electronic total energy is -256.78 eV per cell. The value obtained for the density of states at the Fermi level is 53.0 states/eV/cell. For the density, the calculation gives 7.5 Mg/m³.

It has space group F-43m (No. 216), with a = 9.3754 Å, b = 9.3754 Å, c = 9.3754 Å, α = 90.00°, β = 90.00° and γ = 90.00°. The asymmetric unit holds Tb at (0.0000, 0.0000, 0.0000), Pr at (0.2500, 0.2500, 0.2500) and Gd at (0.1254, 0.1254, 0.6254).


No. 9
First-principles (PBE) data for PmLuZnIr after structural relaxation, as listed in Alexandria via LeMat-Bulk.

The value obtained for the electronic total energy is -87.08 eV per cell. The value obtained for the density of states at the Fermi level is 11.2 states/eV/cell. For the density, the calculation gives 11.2 Mg/m³.

It has space group F-43m (No. 216), with a = 6.9955 Å, b = 6.9955 Å, c = 6.9955 Å, α = 90.00°, β = 90.00° and γ = 90.00°. The asymmetric unit holds Pm at (0.0000, 0.0000, 0.0000), Lu at (0.0000, 0.0000, 0.5000), Zn at (0.2500, 0.2500, 0.7500) and Ir at (0.2500, 0.2500, 0.2500).


No. 10
First-principles (PBE) data for Rb2PPtF6 after structural relaxation, as listed in Alexandria via LeMat-Bulk.

The value obtained for the electronic total energy is -87.75 eV per cell. The value obtained for the uncorrected formation energy is -1926 meV/atom. The value obtained for the density of states at the Fermi level is 13.4 states/eV/cell. For the density, the calculation gives 3.8 Mg/m³.

It has space group I4/mmm (No. 139), with a = 6.8101 Å, b = 6.8101 Å, c = 9.6027 Å, α = 90.00°, β = 90.00° and γ = 90.00°. The asymmetric unit holds Rb at (0.0000, 0.5000, 0.2500), P at (0.0000, 0.0000, 0.0000), Pt at (0.0000, 0.0000, 0.5000), F at (0.0000, 0.0000, 0.1710) and F at (0.1705, 0.1705, 0.0000).


No. 11
First-principles (PBE) data for ThGa3Pt3 after structural relaxation, as listed in Alexandria via LeMat-Bulk.

The value obtained for the electronic total energy is -74.00 eV per cell. The value obtained for the energy above the most stable polymorph in this dataset is 0.4007 eV per atom. The value obtained for the density of states at the Fermi level is 11.3 states/eV/cell. For the density, the calculation gives 10.8 Mg/m³.

It has space group Pm-3n (No. 223), with a = 6.8003 Å, b = 6.8003 Å, c = 6.8003 Å, α = 90.00°, β = 90.00° and γ = 90.00°. The asymmetric unit holds Th at (0.0000, 0.0000, 0.0000), Ga at (0.0000, 0.2500, 0.5000) and Pt at (0.0000, 0.5000, 0.2500).


No. 12
First-principles (PBE) data for Tb6Er2Zr after structural relaxation, as listed in Alexandria via LeMat-Bulk.

The value obtained for the electronic total energy is -44.78 eV per cell. The value obtained for the density of states at the Fermi level is 16.7 states/eV/cell. For the density, the calculation gives 8.2 Mg/m³.

It has space group P-6m2 (No. 187), with a = 3.5302 Å, b = 3.5302 Å, c = 25.8744 Å, α = 90.00°, β = 90.00° and γ = 120.00°. The asymmetric unit holds Tb at (0.0000, 0.0000, 0.0672), Tb at (0.0000, 0.0000, 0.2852), Tb at (0.3333, 0.6667, 0.3992), Er at (0.3333, 0.6667, 0.1749) and Zr at (0.0000, 0.0000, 0.5000).


No. 13
First-principles (PBE) data for PaGaPt2 after structural relaxation, as listed in Alexandria via LeMat-Bulk.

The value obtained for the electronic total energy is -111.35 eV per cell. The value obtained for the density of states at the Fermi level is 16.5 states/eV/cell. For the density, the calculation gives 14.9 Mg/m³.

It has space group Fm-3m (No. 225), with a = 6.7530 Å, b = 6.7530 Å, c = 6.7530 Å, α = 90.00°, β = 90.00° and γ = 90.00°. The asymmetric unit holds Pa at (0.0000, 0.0000, 0.0000), Ga at (0.0000, 0.0000, 0.5000) and Pt at (0.2500, 0.2500, 0.2500).


No. 14
First-principles (PBE) data for AcCeOsRh after structural relaxation, as listed in Alexandria via LeMat-Bulk.

The value obtained for the electronic total energy is -117.26 eV per cell. The value obtained for the density of states at the Fermi level is 13.7 states/eV/cell. For the density, the calculation gives 11.9 Mg/m³.

It has space group F-43m (No. 216), with a = 7.1704 Å, b = 7.1704 Å, c = 7.1704 Å, α = 90.00°, β = 90.00° and γ = 90.00°. The asymmetric unit holds Ac at (0.0000, 0.0000, 0.0000), Ce at (0.0000, 0.0000, 0.5000), Os at (0.2500, 0.2500, 0.2500) and Rh at (0.2500, 0.2500, 0.7500).


No. 15
First-principles (PBE) data for PaIO2 after structural relaxation, as listed in Alexandria via LeMat-Bulk.

The value obtained for the electronic total energy is -251.02 eV per cell. The value obtained for the energy above the most stable polymorph in this dataset is 0.0000 eV per atom. The value obtained for the uncorrected formation energy is -2604 meV/atom. The value obtained for the density of states at the Fermi level is 0.0 states/eV/cell. For the density, the calculation gives 5.1 Mg/m³.

It has space group Pnma (No. 62), with a = 24.5618 Å, b = 6.8245 Å, c = 6.0572 Å, α = 90.00°, β = 90.00° and γ = 90.00°. The asymmetric unit holds Pa at (0.1160, 0.2500, 0.1010), Pa at (0.1275, 0.7500, 0.1265), I at (0.0762, 0.2500, 0.5962), I at (0.1667, 0.7500, 0.6309), O at (0.0715, 0.5174, 0.0998) and O at (0.1721, 0.0174, 0.1276).


No. 16
First-principles (PBE) data for Na2BeTcO4 after structural relaxation, as listed in Alexandria via LeMat-Bulk.

The value obtained for the electronic total energy is -99.23 eV per cell. The value obtained for the uncorrected formation energy is -1631 meV/atom. The value obtained for the density of states at the Fermi level is 1.6 states/eV/cell. For the density, the calculation gives 3.7 Mg/m³.

It has space group I-4 (No. 82), with a = 5.4659 Å, b = 5.4659 Å, c = 6.4733 Å, α = 90.00°, β = 90.00° and γ = 90.00°. The asymmetric unit holds Na at (0.0000, 0.0000, 0.0000), Na at (0.0000, 0.5000, 0.2500), Be at (0.0000, 0.5000, 0.7500), Tc at (0.0000, 0.0000, 0.5000) and O at (0.1383, 0.7047, 0.6009).


No. 17
First-principles (PBE) data for Ac2AlZn4Pd3 after structural relaxation, as listed in Alexandria via LeMat-Bulk.

The value obtained for the electronic total energy is -38.36 eV per cell. The value obtained for the density of states at the Fermi level is 6.1 states/eV/cell. For the density, the calculation gives 8.5 Mg/m³.

It has space group P-4m2 (No. 115), with a = 4.2568 Å, b = 4.2568 Å, c = 11.4738 Å, α = 90.00°, β = 90.00° and γ = 90.00°. The asymmetric unit holds Ac at (0.0000, 0.5000, 0.2431), Al at (0.0000, 0.0000, 0.5000), Zn at (0.0000, 0.0000, 0.0000), Zn at (0.0000, 0.5000, 0.6333), Zn at (0.5000, 0.5000, 0.0000), Pd at (0.0000, 0.5000, 0.8639) and Pd at (0.5000, 0.5000, 0.5000).


No. 18
First-principles (PBE) data for Ru2C3 after structural relaxation, as listed in Alexandria via LeMat-Bulk.

The value obtained for the electronic total energy is -339.43 eV per cell. The value obtained for the energy above the most stable polymorph in this dataset is 0.0000 eV per atom. The value obtained for the density of states at the Fermi level is 21.0 states/eV/cell. For the density, the calculation gives 7.7 Mg/m³.

It has space group Fdd2 (No. 43), with a = 10.6923 Å, b = 12.9132 Å, c = 2.9755 Å, α = 90.00°, β = 90.00° and γ = 90.00°. The asymmetric unit holds Ru at (0.0156, 0.3369, 0.0000), C at (0.0000, 0.0000, 0.3398) and C at (0.1242, 0.0258, 0.2425).


No. 19
First-principles (PBE) data for Ni8P2Pt after structural relaxation, as listed in Alexandria via LeMat-Bulk.

The value obtained for the electronic total energy is -131.91 eV per cell. The value obtained for the density of states at the Fermi level is 21.1 states/eV/cell. For the density, the calculation gives 9.4 Mg/m³.

It has space group Cm (No. 8), with a = 6.0857 Å, b = 11.7223 Å, c = 4.3050 Å, α = 90.00°, β = 123.67° and γ = 90.00°. The asymmetric unit holds Ni at (0.0000, 0.0000, 0.0000), Ni at (0.0924, 0.3841, 0.7275), Ni at (0.2132, 0.0000, 0.6748), Ni at (0.3984, 0.1953, 0.0699), Ni at (0.4171, 0.3166, 0.5755), P at (0.1678, 0.1575, 0.3393) and Pt at (0.1726, 0.5000, 0.2821).


No. 20
First-principles (PBE) data for Tl2PPb2 after structural relaxation, as listed in Alexandria via LeMat-Bulk.

The value obtained for the electronic total energy is -32.04 eV per cell. The value obtained for the energy above the most stable polymorph in this dataset is 0.2233 eV per atom. The value obtained for the density of states at the Fermi level is 6.8 states/eV/cell. For the density, the calculation gives 9.6 Mg/m³.

It has space group P4/mbm (No. 127), with a = 7.3933 Å, b = 7.3933 Å, c = 5.3840 Å, α = 90.00°, β = 90.00° and γ = 90.00°. The asymmetric unit holds Tl at (0.1499, 0.3501, 0.0000), P at (0.0000, 0.0000, 0.0000) and Pb at (0.1668, 0.6668, 0.5000).


No. 21
First-principles (PBE) data for Ba6CdAs2I3 after structural relaxation, as listed in Alexandria via LeMat-Bulk.

The value obtained for the electronic total energy is -81.68 eV per cell. The value obtained for the uncorrected formation energy is -1203 meV/atom. The value obtained for the density of states at the Fermi level is 8.5 states/eV/cell. For the density, the calculation gives 4.6 Mg/m³.

It has space group C2/m (No. 12), with a = 8.5693 Å, b = 14.8474 Å, c = 8.8826 Å, α = 90.00°, β = 108.81° and γ = 90.00°. The asymmetric unit holds Ba at (0.2183, 0.0000, 0.2092), Ba at (0.2457, 0.3241, 0.2097), Cd at (0.0000, 0.5000, 0.0000), As at (0.0000, 0.1667, 0.0000), I at (0.0000, 0.0000, 0.5000) and I at (0.0000, 0.3357, 0.5000).


No. 22
First-principles (PBE) data for SrZrSe2 after structural relaxation, as listed in Alexandria via LeMat-Bulk.

The value obtained for the electronic total energy is -69.37 eV per cell. The value obtained for the energy above the most stable polymorph in this dataset is 0.0000 eV per atom. The value obtained for the uncorrected formation energy is -1481 meV/atom. The value obtained for the density of states at the Fermi level is 6.0 states/eV/cell. For the density, the calculation gives 5.7 Mg/m³.

It has space group R-3m (No. 166, hexagonal axes), with a = 4.0449 Å, b = 4.0449 Å, c = 20.9238 Å, α = 90.00°, β = 90.00° and γ = 120.00°. The asymmetric unit holds Sr at (0.0000, 0.0000, 0.0000), Zr at (0.0000, 0.0000, 0.5000) and Se at (0.0000, 0.0000, 0.2405).


No. 23
First-principles (PBE) data for Pm3Sc4Tl4 after structural relaxation, as listed in Alexandria via LeMat-Bulk.

The value obtained for the electronic total energy is -103.43 eV per cell. The value obtained for the density of states at the Fermi level is 20.3 states/eV/cell. For the density, the calculation gives 7.8 Mg/m³.

It has space group Immm (No. 71), with a = 4.8322 Å, b = 7.7931 Å, c = 16.1574 Å, α = 90.00°, β = 90.00° and γ = 90.00°. The asymmetric unit holds Pm at (0.0000, 0.0000, 0.0000), Pm at (0.0000, 0.5000, 0.1168), Sc at (0.0000, 0.2973, 0.3258), Tl at (0.0000, 0.0000, 0.2112) and Tl at (0.0000, 0.2000, 0.5000).